VASP calculation (GGA-PBE) on an optimized crystal structure of ReSbMoI2.

The structure in CIF format:
```
data_ReSbMoI2
_chemical_formula_sum 'Re1 Sb1 Mo1 I2'
_cell_length_a 5.589
_cell_length_b 5.589
_cell_length_c 5.113
_cell_angle_alpha 90.00
_cell_angle_beta 90.00
_cell_angle_gamma 90.00
_space_group_name_H-M_alt 'P 4/m m m'
_space_group_IT_number 123
_space_group_name_Hall '-P 4 2'
loop_
_atom_site_label
_atom_site_fract_x
_atom_site_fract_y
_atom_site_fract_z
Re1 0.000 0.000 0.000
Sb1 0.000 0.000 0.500
Mo1 0.500 0.500 0.500
I1 0.000 0.500 0.000
```

Values from the calculation:
Offset from the most stable computed form (meV/atom): 0
Total magnetization (μB per formula unit): 5.963
Calculated total energy (eV/atom): -4.58
ΔE_f (raw) (meV/atom): 1517
Fermi-level density of states (states/eV/cell): 6.007